[1]
# PBE-GGA PmSm3Y5, optimized geometry
data_PmSm3Y5
_chemical_formula_sum 'Pm2 Sm6 Y10'
_cell_length_a 9.8375
_cell_length_b 9.8375
_cell_length_c 7.0907
_cell_angle_alpha 90.00
_cell_angle_beta 90.00
_cell_angle_gamma 120.00
_symmetry_space_group_name_H-M 'P 63/m c m'
_symmetry_Int_Tables_number 193
_symmetry_space_group_name_Hall '-P 6c 2'
loop_
_atom_site_label
_atom_site_type_symbol
_atom_site_fract_x
_atom_site_fract_y
_atom_site_fract_z
_atom_site_occupancy
Pm1 Pm 0.0000 0.0000 0.0000 1
Sm1 Sm 0.0000 0.3532 0.2500 1
Y1 Y 0.0000 0.3166 0.7500 1
Y2 Y 0.3333 0.6667 0.0000 1
# Density: 5.8 Mg/m³
# Density of states at the Fermi level: 1.57 states/eV per atom
# Calculated total energy: -101.42 eV for the cell shown
# ΔE_f: 57.7 meV per atom
# Energy above the lowest structure with this stoichiometry: 0 meV/atom
# V: 594 Å³/cell

[2]
# PBE-GGA MgTi3Nb, optimized geometry
data_MgTi3Nb
_chemical_formula_sum 'Mg1 Ti3 Nb1'
_cell_length_a 4.687
_cell_length_b 4.687
_cell_length_c 4.687
_cell_angle_alpha 90.00
_cell_angle_beta 90.00
_cell_angle_gamma 90.00
_symmetry_space_group_name_H-M 'P m -3 m'
_symmetry_Int_Tables_number 221
_symmetry_space_group_name_Hall '-P 4 2 3'
loop_
_atom_site_label
_atom_site_type_symbol
_atom_site_fract_x
_atom_site_fract_y
_atom_site_fract_z
_atom_site_occupancy
Mg1 Mg 0.000 0.000 0.000 1
Ti1 Ti 0.000 0.000 0.500 1
Nb1 Nb 0.500 0.500 0.500 1
# Density: 4.2 Mg/m³
# Density of states at the Fermi level: 1.51 states/eV per atom
# Calculated total energy: -28.18 eV for the cell shown
# ΔE_f: 1433.5 meV per atom
# Energy above the lowest structure with this stoichiometry: 566 meV/atom
# V: 103 Å³/cell

[3]
# PBE-GGA Y6Tc2Au, optimized geometry
data_Y6Tc2Au
_chemical_formula_sum 'Y24 Tc8 Au4'
_cell_length_a 9.512
_cell_length_b 9.609
_cell_length_c 10.162
_cell_angle_alpha 90.00
_cell_angle_beta 90.00
_cell_angle_gamma 90.00
_symmetry_space_group_name_H-M 'I m m m'
_symmetry_Int_Tables_number 71
_symmetry_space_group_name_Hall '-I 2 2'
loop_
_atom_site_label
_atom_site_type_symbol
_atom_site_fract_x
_atom_site_fract_y
_atom_site_fract_z
_atom_site_occupancy
Y1 Y 0.000 0.208 0.181 1
Y2 Y 0.186 0.222 0.500 1
Y3 Y 0.203 0.500 0.265 1
Tc1 Tc 0.000 0.000 0.384 1
Tc2 Tc 0.129 0.000 0.000 1
Au1 Au 0.000 0.500 0.000 1
Au2 Au 0.000 0.500 0.500 1
# Density: 6.6 Mg/m³
# Density of states at the Fermi level: 1.15 states/eV per atom
# Calculated total energy: -259.16 eV for the cell shown
# ΔE_f: -221.7 meV per atom
# V: 929 Å³/cell

[4]
# PBE-GGA KHg2Pt, optimized geometry
data_KHg2Pt
_chemical_formula_sum 'K2 Hg4 Pt2'
_cell_length_a 4.303
_cell_length_b 5.597
_cell_length_c 8.822
_cell_angle_alpha 90.00
_cell_angle_beta 90.00
_cell_angle_gamma 90.00
_symmetry_space_group_name_H-M 'I m m m'
_symmetry_Int_Tables_number 71
_symmetry_space_group_name_Hall '-I 2 2'
loop_
_atom_site_label
_atom_site_type_symbol
_atom_site_fract_x
_atom_site_fract_y
_atom_site_fract_z
_atom_site_occupancy
K1 K 0.000 0.000 0.000 1
Hg1 Hg 0.000 0.500 0.201 1
Pt1 Pt 0.000 0.000 0.500 1
# Density: 9.9 Mg/m³
# Density of states at the Fermi level: 0.34 states/eV per atom
# Calculated total energy: -15.66 eV for the cell shown
# ΔE_f: -21.4 meV per atom
# Energy above the lowest structure with this stoichiometry: 150 meV/atom
# V: 212 Å³/cell

[5]
# PBE-GGA K2HN, optimized geometry
data_K2HN
_chemical_formula_sum 'K4 H2 N2'
_cell_length_a 7.953
_cell_length_b 2.895
_cell_length_c 8.373
_cell_angle_alpha 90.00
_cell_angle_beta 104.24
_cell_angle_gamma 90.00
_symmetry_space_group_name_H-M 'P 1 21/m 1'
_symmetry_Int_Tables_number 11
loop_
_symmetry_equiv_pos_as_xyz
'x,y,z'
'-x,-y,-z'
'-x,y+1/2,-z'
'x,-y+1/2,z'
loop_
_atom_site_label
_atom_site_type_symbol
_atom_site_fract_x
_atom_site_fract_y
_atom_site_fract_z
_atom_site_occupancy
K1 K 0.042 0.250 0.198 1
K2 K 0.440 0.750 0.802 1
H1 H 0.249 0.750 0.995 1
N1 N 0.242 0.250 0.971 1
# Density: 1.7 Mg/m³
# Density of states at the Fermi level: 0.73 states/eV per atom
# Calculated total energy: -24.46 eV for the cell shown
# Energy above the lowest structure with this stoichiometry: 0 meV/atom
# V: 187 Å³/cell

[6]
# PBE-GGA Tm5Bi2Ir2, optimized geometry
data_Tm5Bi2Ir2
_chemical_formula_sum 'Tm20 Bi8 Ir8'
_cell_length_a 15.432
_cell_length_b 7.823
_cell_length_c 7.751
_cell_angle_alpha 90.00
_cell_angle_beta 90.00
_cell_angle_gamma 90.00
_symmetry_space_group_name_H-M 'C m c e'
_symmetry_Int_Tables_number 64
_symmetry_space_group_name_Hall '-C 2ac 2'
loop_
_atom_site_label
_atom_site_type_symbol
_atom_site_fract_x
_atom_site_fract_y
_atom_site_fract_z
_atom_site_occupancy
Tm1 Tm 0.000 0.000 0.000 1
Tm2 Tm 0.115 0.163 0.339 1
Bi1 Bi 0.210 0.000 0.000 1
Ir1 Ir 0.000 0.137 0.635 1
# Density: 11.7 Mg/m³
# Density of states at the Fermi level: 0.61 states/eV per atom
# Calculated total energy: -221.04 eV for the cell shown
# ΔE_f: -824.4 meV per atom
# V: 936 Å³/cell

[7]
# PBE-GGA Y2Ho5Al4, optimized geometry
data_Y2Ho5Al4
_chemical_formula_sum 'Y4 Ho10 Al8'
_cell_length_a 3.568
_cell_length_b 8.539
_cell_length_c 20.168
_cell_angle_alpha 90.00
_cell_angle_beta 90.00
_cell_angle_gamma 90.00
_symmetry_space_group_name_H-M 'I m m m'
_symmetry_Int_Tables_number 71
_symmetry_space_group_name_Hall '-I 2 2'
loop_
_atom_site_label
_atom_site_type_symbol
_atom_site_fract_x
_atom_site_fract_y
_atom_site_fract_z
_atom_site_occupancy
Y1 Y 0.000 0.000 0.079 1
Ho1 Ho 0.000 0.210 0.342 1
Ho2 Ho 0.000 0.500 0.000 1
Al1 Al 0.000 0.000 0.220 1
Al2 Al 0.000 0.274 0.500 1
# Density: 6.0 Mg/m³
# Density of states at the Fermi level: 1.08 states/eV per atom
# Calculated total energy: -102.76 eV for the cell shown
# ΔE_f: -53.9 meV per atom
# V: 614 Å³/cell